No. 1
Density functional theory data (PBE) for crystalline K4PuTh3Se8 at its relaxed geometry.

Values from the calculation:
Fermi-level density of states (states/eV per cell): 19.772
Raw formation energy (eV/atom): -1.5425
Space group: R-3m (166)
E (eV/cell): -93.5

Geometry as CIF:
```
data_K4PuTh3Se8
_space_group_name_H-M_alt 'P 1'
_space_group_IT_number 1
_cell_length_a 8.552
_cell_length_b 9.219
_cell_length_c 8.552
_cell_angle_alpha 117.64
_cell_angle_beta 120.00
_cell_angle_gamma 90.00
loop_
_space_group_symop_operation_xyz
'x,y,z'
loop_
_atom_site_label
_atom_site_type_symbol
_atom_site_fract_x
_atom_site_fract_y
_atom_site_fract_z
K1 K 0.500 0.000 0.000
K2 K 0.500 0.000 0.500
K3 K 0.000 0.000 0.000
K4 K 0.000 0.000 0.500
Pu1 Pu 0.000 0.500 0.000
Th1 Th 0.500 0.500 0.000
Th2 Th 0.500 0.500 0.500
Th3 Th 0.000 0.500 0.500
Se1 Se 0.239 0.714 0.974
Se2 Se 0.239 0.714 0.479
Se3 Se 0.261 0.284 0.522
Se4 Se 0.735 0.714 0.974
Se5 Se 0.265 0.286 0.026
Se6 Se 0.739 0.716 0.478
Se7 Se 0.761 0.286 0.521
Se8 Se 0.761 0.286 0.026
```

---

No. 2
Density functional theory data (PBE) for crystalline K2PuThSe4 at its relaxed geometry.

Values from the calculation:
Fermi-level density of states (states/eV per cell): 13.540
Raw formation energy (eV/atom): -1.5476
Space group: P2/m (10)
E (eV/cell): -50.3

Geometry as CIF:
```
data_K2PuThSe4
_space_group_name_H-M_alt 'P 1'
_space_group_IT_number 1
_cell_length_a 4.321
_cell_length_b 7.454
_cell_length_c 8.102
_cell_angle_alpha 107.89
_cell_angle_beta 90.00
_cell_angle_gamma 90.00
loop_
_space_group_symop_operation_xyz
'x,y,z'
loop_
_atom_site_label
_atom_site_type_symbol
_atom_site_fract_x
_atom_site_fract_y
_atom_site_fract_z
K1 K 0.500 0.000 0.500
K2 K 0.000 0.500 0.500
Pu1 Pu 0.500 0.500 0.000
Th1 Th 0.000 0.000 0.000
Se1 Se 0.500 0.233 0.212
Se2 Se 0.500 0.767 0.788
Se3 Se 0.000 0.259 0.791
Se4 Se 0.000 0.741 0.209
```

---

No. 3
Density functional theory data (PBE) for crystalline K3Pu3TiSe8 at its relaxed geometry.

Values from the calculation:
Fermi-level density of states (states/eV per cell): 31.074
Raw formation energy (eV/atom): -1.3781
Space group: R-3m (166)
E (eV/cell): -102.7

Geometry as CIF:
```
data_K3Pu3TiSe8
_space_group_name_H-M_alt 'P 1'
_space_group_IT_number 1
_cell_length_a 8.245
_cell_length_b 8.247
_cell_length_c 9.151
_cell_angle_alpha 116.80
_cell_angle_beta 90.00
_cell_angle_gamma 119.99
loop_
_space_group_symop_operation_xyz
'x,y,z'
loop_
_atom_site_label
_atom_site_type_symbol
_atom_site_fract_x
_atom_site_fract_y
_atom_site_fract_z
K1 K 0.000 0.000 0.000
K2 K 0.000 0.500 0.000
K3 K 0.500 0.500 0.000
Pu1 Pu 0.500 0.000 0.500
Pu2 Pu 0.500 0.500 0.500
Pu3 Pu 0.000 0.500 0.500
Ti1 Ti 0.000 0.000 0.500
Se1 Se 0.264 0.528 0.293
Se2 Se 0.736 0.472 0.707
Se3 Se 0.782 0.564 0.309
Se4 Se 0.218 0.436 0.691
Se5 Se 0.782 0.027 0.309
Se6 Se 0.218 0.973 0.691
Se7 Se 0.245 0.027 0.309
Se8 Se 0.755 0.973 0.691
```

---

No. 4
Density functional theory data (PBE) for crystalline K3Pu2TiSe6 at its relaxed geometry.

Values from the calculation:
Fermi-level density of states (states/eV per cell): 22.604
Raw formation energy (eV/atom): -1.3620
Space group: C2/m (12)
E (eV/cell): -77.1

Geometry as CIF:
```
data_K3Pu2TiSe6
_space_group_name_H-M_alt 'P 1'
_space_group_IT_number 1
_cell_length_a 7.151
_cell_length_b 7.151
_cell_length_c 8.025
_cell_angle_alpha 98.58
_cell_angle_beta 98.58
_cell_angle_gamma 120.02
loop_
_space_group_symop_operation_xyz
'x,y,z'
loop_
_atom_site_label
_atom_site_type_symbol
_atom_site_fract_x
_atom_site_fract_y
_atom_site_fract_z
K1 K 0.170 0.830 0.500
K2 K 0.830 0.170 0.500
K3 K 0.500 0.500 0.500
Pu1 Pu 0.334 0.666 0.000
Pu2 Pu 0.666 0.334 0.000
Ti1 Ti 0.000 0.000 0.000
Se1 Se 0.933 0.622 0.800
Se2 Se 0.756 0.756 0.200
Se3 Se 0.067 0.378 0.200
Se4 Se 0.622 0.933 0.800
Se5 Se 0.244 0.244 0.800
Se6 Se 0.378 0.067 0.200
```

---

No. 5
Density functional theory data (PBE) for crystalline K2Pu2TiSe6 at its relaxed geometry.

Values from the calculation:
Fermi-level density of states (states/eV per cell): 21.851
Raw formation energy (eV/atom): -1.3454
Space group: C2/m (12)
E (eV/cell): -74.5

Geometry as CIF:
```
data_K2Pu2TiSe6
_space_group_name_H-M_alt 'P 1'
_space_group_IT_number 1
_cell_length_a 6.982
_cell_length_b 6.982
_cell_length_c 8.199
_cell_angle_alpha 98.55
_cell_angle_beta 98.55
_cell_angle_gamma 119.41
loop_
_space_group_symop_operation_xyz
'x,y,z'
loop_
_atom_site_label
_atom_site_type_symbol
_atom_site_fract_x
_atom_site_fract_y
_atom_site_fract_z
K1 K 0.829 0.171 0.000
K2 K 0.171 0.829 0.000
Pu1 Pu 0.333 0.667 0.500
Pu2 Pu 0.667 0.333 0.500
Ti1 Ti 0.000 0.000 0.500
Se1 Se 0.760 0.760 0.694
Se2 Se 0.069 0.378 0.696
Se3 Se 0.240 0.240 0.306
Se4 Se 0.378 0.069 0.696
Se5 Se 0.931 0.622 0.304
Se6 Se 0.622 0.931 0.304
```

---

No. 6
Density functional theory data (PBE) for crystalline K3Pu3TlSe8 at its relaxed geometry.

Values from the calculation:
Fermi-level density of states (states/eV per cell): 28.830
Raw formation energy (eV/atom): -1.2010
Space group: R-3m (166)
E (eV/cell): -94.5

Geometry as CIF:
```
data_K3Pu3TlSe8
_space_group_name_H-M_alt 'P 1'
_space_group_IT_number 1
_cell_length_a 8.497
_cell_length_b 8.494
_cell_length_c 9.076
_cell_angle_alpha 117.87
_cell_angle_beta 90.02
_cell_angle_gamma 120.01
loop_
_space_group_symop_operation_xyz
'x,y,z'
loop_
_atom_site_label
_atom_site_type_symbol
_atom_site_fract_x
_atom_site_fract_y
_atom_site_fract_z
K1 K 0.000 0.000 0.000
K2 K 0.000 0.500 0.000
K3 K 0.500 0.500 0.000
Pu1 Pu 0.500 0.000 0.500
Pu2 Pu 0.500 0.500 0.500
Pu3 Pu 0.000 0.500 0.500
Tl1 Tl 0.000 0.000 0.500
Se1 Se 0.265 0.531 0.296
Se2 Se 0.735 0.469 0.704
Se3 Se 0.755 0.511 0.296
Se4 Se 0.245 0.489 0.704
Se5 Se 0.755 0.041 0.296
Se6 Se 0.245 0.959 0.704
Se7 Se 0.286 0.041 0.296
Se8 Se 0.714 0.959 0.704
```

---

No. 7
Density functional theory data (PBE) for crystalline KPuTl2Se4 at its relaxed geometry.

Values from the calculation:
Fermi-level density of states (states/eV per cell): 11.319
Raw formation energy (eV/atom): -0.8413
Space group: P2/m (10)
E (eV/cell): -40.8

Geometry as CIF:
```
data_KPuTl2Se4
_space_group_name_H-M_alt 'P 1'
_space_group_IT_number 1
_cell_length_a 4.245
_cell_length_b 7.575
_cell_length_c 8.021
_cell_angle_alpha 71.86
_cell_angle_beta 90.00
_cell_angle_gamma 90.00
loop_
_space_group_symop_operation_xyz
'x,y,z'
loop_
_atom_site_label
_atom_site_type_symbol
_atom_site_fract_x
_atom_site_fract_y
_atom_site_fract_z
K1 K 0.500 0.500 0.000
Pu1 Pu 0.000 0.500 0.500
Tl1 Tl 0.000 0.000 0.000
Tl2 Tl 0.500 0.000 0.500
Se1 Se 0.000 0.748 0.704
Se2 Se 0.000 0.252 0.296
Se3 Se 0.500 0.718 0.293
Se4 Se 0.500 0.282 0.707
```

---

No. 8
Density functional theory data (PBE) for crystalline KPuTlSe3 at its relaxed geometry.

Values from the calculation:
Fermi-level density of states (states/eV per cell): 19.174
Raw formation energy (eV/atom): -1.0536
Space group: P2_1/m (11)
E (eV/cell): -69.1

Geometry as CIF:
```
data_KPuTlSe3
_space_group_name_H-M_alt 'P 1'
_space_group_IT_number 1
_cell_length_a 4.223
_cell_length_b 8.062
_cell_length_c 12.535
_cell_angle_alpha 109.45
_cell_angle_beta 90.00
_cell_angle_gamma 90.00
loop_
_space_group_symop_operation_xyz
'x,y,z'
loop_
_atom_site_label
_atom_site_type_symbol
_atom_site_fract_x
_atom_site_fract_y
_atom_site_fract_z
K1 K 0.250 0.096 0.171
K2 K 0.750 0.904 0.829
Pu1 Pu 0.250 0.588 0.155
Pu2 Pu 0.750 0.412 0.845
Tl1 Tl 0.250 0.250 0.530
Tl2 Tl 0.750 0.750 0.470
Se1 Se 0.750 0.830 0.239
Se2 Se 0.250 0.170 0.761
Se3 Se 0.250 0.495 0.345
Se4 Se 0.750 0.505 0.655
Se5 Se 0.750 0.336 0.054
Se6 Se 0.250 0.664 0.946
```

---

No. 9
Density functional theory data (PBE) for crystalline K4TmPu3Se8 at its relaxed geometry.

Values from the calculation:
Fermi-level density of states (states/eV per cell): 33.222
Raw formation energy (eV/atom): -1.5319
Space group: R-3m (166)
E (eV/cell): -104.2

Geometry as CIF:
```
data_K4TmPu3Se8
_space_group_name_H-M_alt 'P 1'
_space_group_IT_number 1
_cell_length_a 8.518
_cell_length_b 9.084
_cell_length_c 8.518
_cell_angle_alpha 117.95
_cell_angle_beta 120.00
_cell_angle_gamma 90.00
loop_
_space_group_symop_operation_xyz
'x,y,z'
loop_
_atom_site_label
_atom_site_type_symbol
_atom_site_fract_x
_atom_site_fract_y
_atom_site_fract_z
K1 K 0.500 0.000 0.000
K2 K 0.500 0.000 0.500
K3 K 0.000 0.000 0.000
K4 K 0.000 0.000 0.500
Tm1 Tm 0.000 0.500 0.000
Pu1 Pu 0.500 0.500 0.000
Pu2 Pu 0.500 0.500 0.500
Pu3 Pu 0.000 0.500 0.500
Se1 Se 0.232 0.704 0.972
Se2 Se 0.232 0.704 0.463
Se3 Se 0.265 0.296 0.531
Se4 Se 0.741 0.704 0.972
Se5 Se 0.259 0.296 0.028
Se6 Se 0.735 0.704 0.469
Se7 Se 0.768 0.296 0.537
Se8 Se 0.768 0.296 0.028
```

---

No. 10
Density functional theory data (PBE) for crystalline KTmPu2Se4 at its relaxed geometry.

Values from the calculation:
Fermi-level density of states (states/eV per cell): 18.624
Raw formation energy (eV/atom): -1.5147
Space group: P2/m (10)
E (eV/cell): -60.3

Geometry as CIF:
```
data_KTmPu2Se4
_space_group_name_H-M_alt 'P 1'
_space_group_IT_number 1
_cell_length_a 4.171
_cell_length_b 7.280
_cell_length_c 7.404
_cell_angle_alpha 108.59
_cell_angle_beta 90.00
_cell_angle_gamma 90.00
loop_
_space_group_symop_operation_xyz
'x,y,z'
loop_
_atom_site_label
_atom_site_type_symbol
_atom_site_fract_x
_atom_site_fract_y
_atom_site_fract_z
K1 K 0.500 0.500 0.000
Tm1 Tm 0.000 0.500 0.500
Pu1 Pu 0.000 0.000 0.000
Pu2 Pu 0.500 0.000 0.500
Se1 Se 0.000 0.761 0.273
Se2 Se 0.000 0.239 0.727
Se3 Se 0.500 0.746 0.734
Se4 Se 0.500 0.254 0.266
```